# La2ScPtN (PBE-GGA, relaxed)
# formation energy from raw total energies: -1019 meV per atom
data_La2ScPtN
_chemical_formula_sum 'La2 Sc1 Pt1 N1'
_cell_length_a 5.152
_cell_length_b 5.152
_cell_length_c 4.221
_cell_angle_alpha 90.00
_cell_angle_beta 90.00
_cell_angle_gamma 90.00
_space_group_name_H-M_alt 'P 4/m m m'
_space_group_IT_number 123
_space_group_name_Hall '-P 4 2'
loop_
_atom_site_label
_atom_site_type_symbol
_atom_site_fract_x
_atom_site_fract_y
_atom_site_fract_z
La1 La 0.000 0.500 0.000
Sc1 Sc 0.000 0.000 0.500
Pt1 Pt 0.500 0.500 0.500
N1 N 0.000 0.000 0.000